Density functional theory data (PBE with a Hubbard U) for a relaxed structure of Fe2TeF.

As for the density: 6.30 Mg/m³. The magnetic moment is 7.00 μB/f.u. Its density of states at the Fermi level is 17.31 states/eV per cell. Its relative energy among the computed polymorphs is 177 meV per atom.

The structure belongs to space group Fm-3m (No. 225); the cell edges are 6.480, 6.480 and 6.480 Å and the angles 90.00°, 90.00° and 90.00°. The asymmetric unit holds Fe at (0.250, 0.250, 0.250), Te at (0.000, 0.000, 0.000) and F at (0.000, 0.000, 0.500).